No. 1
Material: Ti4Tc5Ge
Method: DFT, PBE
State: optimized geometry

POSCAR file:
```
Ti4Tc5Ge
1.0
3.123 0.000 0.000
0.000 3.123 0.000
0.000 0.000 15.254
Ti Tc Ge
4 5 1
direct
0.000 0.000 0.102
0.000 0.000 0.303
0.000 0.000 0.697
0.000 0.000 0.898
0.500 0.500 0.000
0.500 0.500 0.202
0.500 0.500 0.405
0.500 0.500 0.595
0.500 0.500 0.798
0.000 0.000 0.500
```

## Properties
DOS(E_F) = 10.7 states/eV per cell
Energy of formation = -416 meV/atom
Total DFT energy (no corrections) = -9.218 eV per atom

=====

No. 2
Material: Ag2RuCl
Method: DFT, PBE
State: optimized geometry

POSCAR file:
```
Ag2RuCl
1.0
9.233 0.000 0.000
0.000 2.990 0.000
-1.389 0.000 6.506
Ag Ru Cl
4 2 2
direct
0.000 0.000 0.000
0.240 0.000 0.798
0.500 0.500 0.000
0.740 0.500 0.798
0.253 0.500 0.161
0.753 0.000 0.161
0.317 0.000 0.430
0.817 0.500 0.430
```

## Properties
E above lowest polymorph = 65 meV/atom
DOS(E_F) = 5.9 states/eV per cell
Formation energy without anion corrections = 0.3804 eV per atom
Total DFT energy (no corrections) = -3.826 eV per atom

=====

No. 3
Material: Na4Pu3GaS8
Method: DFT, PBE
State: optimized geometry

POSCAR file:
```
Na4Pu3GaS8
1.0
3.993 2.306 6.572
-3.993 2.306 6.572
0.000 -4.611 6.572
Na Pu Ga S
4 3 1 8
direct
0.000 0.000 0.000
0.000 0.500 0.500
0.500 0.000 0.500
0.500 0.500 0.000
0.000 0.000 0.500
0.000 0.500 0.000
0.500 0.000 0.000
0.500 0.500 0.500
0.242 0.242 0.242
0.249 0.735 0.735
0.265 0.265 0.751
0.265 0.751 0.265
0.735 0.249 0.735
0.735 0.735 0.249
0.751 0.265 0.265
0.758 0.758 0.758
```

## Properties
DOS(E_F) = 26.1 states/eV per cell
Formation energy without anion corrections = -1.3314 eV per atom
Total DFT energy (no corrections) = -6.601 eV per atom

=====

No. 4
Material: HgOs2Cl
Method: DFT, PBE
State: optimized geometry

POSCAR file:
```
HgOs2Cl
1.0
2.909 0.000 0.000
0.000 4.550 0.000
-0.106 0.000 5.189
Hg Os Cl
1 2 1
direct
0.000 0.000 0.000
0.242 0.500 0.293
0.758 0.500 0.707
0.500 0.000 0.500
```

## Properties
E above lowest polymorph = 852 meV/atom
DOS(E_F) = 4.0 states/eV per cell
Formation energy without anion corrections = 1.2051 eV per atom
Total DFT energy (no corrections) = -4.947 eV per atom

=====

No. 5
Material: YTmAs2
Method: DFT, PBE
State: optimized geometry

POSCAR file:
```
YTmAs2
1.0
4.095 0.000 0.000
-2.047 3.546 0.000
0.000 0.000 20.043
Y Tm As
3 3 6
direct
0.000 0.000 0.000
0.333 0.667 0.667
0.667 0.333 0.333
0.000 0.000 0.500
0.333 0.667 0.167
0.667 0.333 0.833
0.000 0.000 0.249
0.000 0.000 0.751
0.333 0.667 0.418
0.333 0.667 0.915
0.667 0.333 0.085
0.667 0.333 0.582
```

## Properties
E above lowest polymorph = 1 meV/atom
DOS(E_F) = 1.6 states/eV per cell
Energy of formation = -1531 meV/atom
Total DFT energy (no corrections) = -6.590 eV per atom

=====

No. 6
Material: Rb4U3SnS12
Method: DFT, PBE
State: optimized geometry

POSCAR file:
```
Rb4U3SnS12
1.0
-5.223 5.223 5.223
5.223 -5.223 5.223
5.223 5.223 -5.223
Rb U Sn S
4 3 1 12
direct
0.000 0.000 0.500
0.000 0.500 0.000
0.500 0.000 0.000
0.500 0.500 0.500
0.000 0.500 0.500
0.500 0.000 0.500
0.500 0.500 0.000
0.000 0.000 0.000
0.000 0.265 0.265
0.000 0.735 0.735
0.250 0.500 0.750
0.250 0.750 0.500
0.265 0.000 0.265
0.265 0.265 0.000
0.500 0.250 0.750
0.500 0.750 0.250
0.735 0.000 0.735
0.735 0.735 0.000
0.750 0.250 0.500
0.750 0.500 0.250
```

## Properties
Formation energy without anion corrections = -1.1717 eV per atom
Total DFT energy (no corrections) = -5.735 eV per atom

=====

No. 7
Material: KSr2Rh
Method: DFT, PBE
State: optimized geometry

POSCAR file:
```
KSr2Rh
1.0
3.784 0.000 0.000
0.000 3.784 0.000
0.000 0.000 11.132
K Sr Rh
1 2 1
direct
0.000 0.000 0.000
0.500 0.500 0.346
0.500 0.500 0.654
0.000 0.000 0.500
```

## Properties
E above lowest polymorph = 7 meV/atom
DOS(E_F) = 2.8 states/eV per cell
Energy of formation = -69 meV/atom
Total DFT energy (no corrections) = -3.022 eV per atom

=====

No. 8
Material: AcH4Pt2
Method: DFT, PBE
State: optimized geometry

POSCAR file:
```
AcH4Pt2
1.0
-4.264 4.264 2.372
4.264 -4.264 2.372
4.264 4.264 -2.372
Ac H Pt
2 8 4
direct
0.000 0.000 0.000
0.750 0.250 0.500
0.124 0.823 0.286
0.161 0.876 0.699
0.177 0.462 0.301
0.212 0.427 0.801
0.538 0.839 0.714
0.573 0.374 0.786
0.589 0.788 0.214
0.626 0.411 0.199
0.209 0.125 0.584
0.375 0.791 0.916
0.541 0.625 0.416
0.875 0.459 0.084
```

## Properties
DOS(E_F) = 3.3 states/eV per cell
Total DFT energy (no corrections) = -4.637 eV per atom

=====

What is the formula in the eighth record?
AcH4Pt2

=====

Which value of total DFT energy (no corrections) does entry 1 give?
-9.218 eV per atom

=====

Which value of total DFT energy (no corrections) does entry 5 give?
-6.590 eV per atom